[1]
Density functional theory data (PBE) for a relaxed structure of Tb2GdSi4Au4.

Calculated density = 10669 kg/m³
Total magnetization = 0.0 μB per cell
Space group = Immm, No. 71
Final energy = -5.136 eV/atom

Cell lengths 8.220, 8.220, 8.220 Å; angles 149.68, 129.66, 59.90 degrees
Sites, in units of the cell vectors:
Tb1 0.126 0.126 0.000
Tb2 0.874 0.874 0.000
Gd1 0.500 0.000 0.500
Si1 0.175 0.500 0.675
Si2 0.283 0.783 0.500
Si3 0.717 0.217 0.500
Si4 0.825 0.500 0.325
Au1 0.134 0.335 0.799
Au2 0.464 0.665 0.799
Au3 0.536 0.335 0.201
Au4 0.866 0.665 0.201

=====

[2]
Density functional theory data (PBE) for a relaxed structure of GdSi2TcAu.

Calculated density = 9555 kg/m³
Total magnetization = 0.0 μB per cell
Space group = I-4m2, No. 119
Final energy = -6.430 eV/atom

Cell lengths 5.919, 5.919, 5.919 Å; angles 139.01, 139.01, 59.35 degrees
Sites, in units of the cell vectors:
Gd1 0.000 0.000 0.000
Si1 0.383 0.383 0.000
Si2 0.617 0.617 0.000
Tc1 0.750 0.250 0.500
Au1 0.250 0.750 0.500